# CoTc2Cl

A relaxed structure of CoTc2Cl (PBE, Alexandria).

The structure in POSCAR format:
```
CoTc2Cl
1.0
2.803 0.000 0.000
0.000 4.563 0.000
0.000 0.000 4.471
Co Cl Tc
1 1 2
direct
0.000 0.500 0.500 Co
0.500 0.000 0.500 Cl
0.000 0.000 0.000 Tc
0.500 0.500 0.000 Tc
```

Calculated values
E_tot = -6.586 eV/atom
Raw formation energy = 835 meV per atom
Symmetry = Pmmm, No. 47